The following is a PBE calculation of a geometry-optimized La2AuBr structure, from Alexandria via LeMat-Bulk.

a = 7.129 Å, b = 7.129 Å, c = 7.129 Å
α = 144.95°, β = 144.95°, γ = 50.41°
Atoms (fractional coordinates):
Br  0.750  0.250  0.500
La  0.000  0.000  0.000
La  0.250  0.750  0.500
Au  0.500  0.500  0.000

## Properties
Energy relative to the elements, uncorrected (eV per atom): -0.803
Energy above the lowest structure with this stoichiometry (meV/atom): 269
Density of states at the Fermi level (states/eV per cell): 3.8
SG: I-4m2, No. 119
Total magnetic moment (μB/atom): 0.073


The following is a PBE calculation of a geometry-optimized La2AuBr structure, from Alexandria via LeMat-Bulk.

a = 3.627 Å, b = 3.604 Å, c = 9.171 Å
α = 66.94°, β = 90.00°, γ = 90.00°
Atoms (fractional coordinates):
Au  0.500  0.250  0.250
La  0.000  0.519  0.481
La  0.000  0.981  0.019
Br  0.500  0.750  0.750

## Properties
Energy relative to the elements, uncorrected (eV per atom): -0.966
Energy above the lowest structure with this stoichiometry (meV/atom): 106
Density of states at the Fermi level (states/eV per cell): 4.4
SG: P2/m, No. 10
Total magnetic moment (μB/atom): 0.000


The following is a PBE calculation of a geometry-optimized LaMg2AuBr structure, from Alexandria via LeMat-Bulk.

a = 6.626 Å, b = 5.581 Å, c = 6.626 Å
α = 90.00°, β = 90.00°, γ = 90.00°
Atoms (fractional coordinates):
Mg  0.500  0.000  0.000
Mg  0.000  0.000  0.500
Au  0.000  0.500  0.000
La  0.000  0.000  0.000
Br  0.500  0.500  0.500

## Properties
Energy relative to the elements, uncorrected (eV per atom): 0.511
Density of states at the Fermi level (states/eV per cell): 4.9
SG: P4/mmm, No. 123
Total magnetic moment (μB/atom): 0.000


The following is a PBE calculation of a geometry-optimized NaLaAuBr2 structure, from Alexandria via LeMat-Bulk.

a = 5.757 Å, b = 5.526 Å, c = 5.757 Å
α = 90.00°, β = 90.00°, γ = 90.00°
Atoms (fractional coordinates):
La  0.000  0.500  0.000
Na  0.500  0.500  0.500
Au  0.000  0.000  0.000
Br  0.000  0.000  0.500
Br  0.500  0.000  0.000

## Properties
Energy relative to the elements, uncorrected (eV per atom): -0.225
Density of states at the Fermi level (states/eV per cell): 5.3
SG: P4/mmm, No. 123
Total magnetic moment (μB/atom): 0.008


The following is a PBE calculation of a geometry-optimized LaNdAuBr structure, from Alexandria via LeMat-Bulk.

a = 5.334 Å, b = 5.334 Å, c = 5.334 Å
α = 60.00°, β = 60.00°, γ = 60.00°
Atoms (fractional coordinates):
Br  0.500  0.500  0.500
Nd  0.250  0.250  0.250
La  0.750  0.750  0.750
Au  0.000  0.000  0.000

## Properties
Energy relative to the elements, uncorrected (eV per atom): -0.815
Density of states at the Fermi level (states/eV per cell): 5.4
SG: F-43m, No. 216
Total magnetic moment (μB/atom): 0.000


The following is a PBE calculation of a geometry-optimized La4OsAuBr2 structure, from Alexandria via LeMat-Bulk.

a = 4.286 Å, b = 7.465 Å, c = 8.257 Å
α = 107.51°, β = 90.00°, γ = 90.00°
Atoms (fractional coordinates):
La  0.500  0.740  0.799
La  0.000  0.719  0.199
La  0.500  0.260  0.201
La  0.000  0.281  0.801
Br  0.500  0.000  0.500
Br  0.000  0.500  0.500
Os  0.500  0.500  0.000
Au  0.000  0.000  0.000

## Properties
Energy relative to the elements, uncorrected (eV per atom): -0.996
Density of states at the Fermi level (states/eV per cell): 4.6
SG: P2/m, No. 10
Total magnetic moment (μB/atom): 0.000


The following is a PBE calculation of a geometry-optimized La8Os3AuBr4 structure, from Alexandria via LeMat-Bulk.

a = 8.485 Å, b = 9.285 Å, c = 8.485 Å
α = 117.20°, β = 120.00°, γ = 90.00°
Atoms (fractional coordinates):
La  0.288  0.304  0.046
La  0.758  0.304  0.515
La  0.242  0.696  0.954
La  0.267  0.301  0.534
La  0.758  0.304  0.046
La  0.733  0.699  0.466
La  0.242  0.696  0.485
La  0.712  0.696  0.954
Os  0.000  0.500  0.500
Os  0.500  0.500  0.500
Os  0.500  0.500  0.000
Br  0.500  0.000  0.500
Br  0.000  0.000  0.000
Br  0.500  0.000  0.000
Br  0.000  0.000  0.500
Au  0.000  0.500  0.000

## Properties
Energy relative to the elements, uncorrected (eV per atom): -0.931
Density of states at the Fermi level (states/eV per cell): 6.0
SG: R-3m, No. 166
Total magnetic moment (μB/atom): 0.000


The following is a PBE calculation of a geometry-optimized La6Os2AuBr3 structure, from Alexandria via LeMat-Bulk.

a = 7.370 Å, b = 7.370 Å, c = 8.287 Å
α = 98.50°, β = 98.50°, γ = 120.01°
Atoms (fractional coordinates):
Os  0.333  0.667  0.000
Os  0.667  0.333  0.000
Br  0.167  0.833  0.500
Br  0.833  0.167  0.500
Br  0.500  0.500  0.500
La  0.709  0.709  0.198
La  0.934  0.577  0.802
La  0.066  0.423  0.198
La  0.291  0.291  0.802
La  0.423  0.066  0.198
La  0.577  0.934  0.802
Au  0.000  0.000  0.000

## Properties
Energy relative to the elements, uncorrected (eV per atom): -0.978
Density of states at the Fermi level (states/eV per cell): 3.9
SG: C2/m, No. 12
Total magnetic moment (μB/atom): 0.000


The following is a PBE calculation of a geometry-optimized La8P3AuBr4 structure, from Alexandria via LeMat-Bulk.

a = 8.595 Å, b = 8.809 Å, c = 8.595 Å
α = 119.20°, β = 120.00°, γ = 90.00°
Atoms (fractional coordinates):
La  0.737  0.711  0.474
La  0.753  0.279  0.507
La  0.247  0.721  0.493
La  0.753  0.279  0.026
La  0.247  0.721  0.974
La  0.263  0.289  0.526
La  0.272  0.279  0.026
La  0.728  0.721  0.974
P  0.500  0.500  0.000
P  0.500  0.500  0.500
P  0.000  0.500  0.500
Au  0.000  0.500  0.000
Br  0.000  0.000  0.500
Br  0.500  0.000  0.000
Br  0.000  0.000  0.000
Br  0.500  0.000  0.500

## Properties
Energy relative to the elements, uncorrected (eV per atom): -1.439
Density of states at the Fermi level (states/eV per cell): 11.9
SG: R-3m, No. 166
Total magnetic moment (μB/atom): 0.000


The following is a PBE calculation of a geometry-optimized La2PAuBr structure, from Alexandria via LeMat-Bulk.

a = 5.583 Å, b = 5.276 Å, c = 5.583 Å
α = 90.00°, β = 90.00°, γ = 90.00°
Atoms (fractional coordinates):
La  0.000  0.000  0.500
La  0.500  0.000  0.000
Au  0.500  0.500  0.500
Br  0.000  0.500  0.000
P  0.000  0.000  0.000

## Properties
Energy relative to the elements, uncorrected (eV per atom): -0.448
Energy above the lowest structure with this stoichiometry (meV/atom): 0
Density of states at the Fermi level (states/eV per cell): 4.2
SG: P4/mmm, No. 123
Total magnetic moment (μB/atom): 0.000


The following is a PBE calculation of a geometry-optimized LaPbAuBr2 structure, from Alexandria via LeMat-Bulk.

a = 5.614 Å, b = 6.554 Å, c = 5.614 Å
α = 90.00°, β = 90.00°, γ = 90.00°
Atoms (fractional coordinates):
Br  0.000  0.000  0.500
Br  0.500  0.000  0.000
Pb  0.000  0.000  0.000
Au  0.500  0.500  0.500
La  0.000  0.500  0.000

## Properties
Energy relative to the elements, uncorrected (eV per atom): -0.091
Density of states at the Fermi level (states/eV per cell): 2.8
SG: P4/mmm, No. 123
Total magnetic moment (μB/atom): 0.001


The following is a PBE calculation of a geometry-optimized La2PbAuBr structure, from Alexandria via LeMat-Bulk.

a = 5.959 Å, b = 5.274 Å, c = 5.959 Å
α = 90.00°, β = 90.00°, γ = 90.00°
Atoms (fractional coordinates):
La  0.500  0.000  0.000
La  0.000  0.000  0.500
Au  0.000  0.000  0.000
Br  0.500  0.500  0.500
Pb  0.000  0.500  0.000

## Properties
Energy relative to the elements, uncorrected (eV per atom): -0.293
Density of states at the Fermi level (states/eV per cell): 7.5
SG: P4/mmm, No. 123
Total magnetic moment (μB/atom): 0.000


The following is a PBE calculation of a geometry-optimized La8Pd3AuBr4 structure, from Alexandria via LeMat-Bulk.

a = 8.615 Å, b = 9.207 Å, c = 8.617 Å
α = 117.91°, β = 119.99°, γ = 90.00°
Atoms (fractional coordinates):
Br  0.500  0.000  0.000
Br  0.000  0.000  0.000
Br  0.000  0.000  0.500
Br  0.500  0.000  0.500
Pd  0.000  0.500  0.500
Pd  0.500  0.500  0.500
Pd  0.500  0.500  0.000
La  0.240  0.711  0.971
La  0.737  0.710  0.473
La  0.730  0.711  0.971
La  0.760  0.289  0.520
La  0.240  0.711  0.480
La  0.270  0.289  0.029
La  0.263  0.290  0.527
La  0.760  0.289  0.029
Au  0.000  0.500  0.000

## Properties
Energy relative to the elements, uncorrected (eV per atom): -1.059
Density of states at the Fermi level (states/eV per cell): 18.4
SG: R-3m, No. 166
Total magnetic moment (μB/atom): 0.000